# 1
Material: SbTe2HS
Method: DFT, PBE-GGA
State: optimized geometry

Lattice parameters (Å, degrees): 5.3456 5.3456 5.2301 90.00 90.00 90.00
Sites, in units of the cell vectors:
Sb: 0.0000 0.0000 0.5000
S: 0.0000 0.0000 0.0000
Te: 0.0000 0.5000 0.0000
Te: 0.5000 0.0000 0.0000
H: 0.5000 0.5000 0.5000

The total energy comes out at -13.16 eV/f.u. The value obtained for the volume is 149.5 Å³/cell.

# 2
Material: Li2TlHg
Method: DFT, PBE-GGA
State: optimized geometry

Lattice parameters (Å, degrees): 3.2721 5.9650 5.8338 49.77 90.00 90.00
Sites, in units of the cell vectors:
Hg: 0.0000 0.0000 0.5000
Li: 0.0000 0.0000 0.0000
Li: 0.5000 0.5000 0.0000
Tl: 0.5000 0.5000 0.5000

As for the formation energy: -0.18 eV per atom. The total energy comes out at -7.24 eV/f.u. The value obtained for the volume is 86.9 Å³/cell.

# 3
Material: Cu2Ag2Bi
Method: DFT, PBE-GGA
State: optimized geometry

Lattice parameters (Å, degrees): 7.4468 7.4468 3.2704 90.00 90.00 90.00
Sites, in units of the cell vectors:
Cu: 0.3773 0.8773 0.0000
Cu: 0.8773 0.6227 0.0000
Cu: 0.6227 0.1227 0.0000
Cu: 0.1227 0.3773 0.0000
Bi: 0.0000 0.0000 0.0000
Bi: 0.5000 0.5000 0.0000
Ag: 0.1648 0.6648 0.5000
Ag: 0.6648 0.8352 0.5000
Ag: 0.8352 0.3352 0.5000
Ag: 0.3352 0.1648 0.5000

As for the formation energy: 0.16 eV per atom. The total energy comes out at -16.97 eV/f.u. The value obtained for the volume is 181.4 Å³/cell.

# 4
Material: Ta2TlHg
Method: DFT, PBE-GGA
State: optimized geometry

Lattice parameters (Å, degrees): 3.0683 3.0683 9.6416 90.00 90.00 111.49
Sites, in units of the cell vectors:
Hg: 0.5000 0.5000 0.7659
Ta: 0.0000 0.0000 0.0131
Ta: 0.5000 0.5000 0.2305
Tl: 0.0000 0.0000 0.4905

As for the formation energy: 0.32 eV per atom. The total energy comes out at -25.08 eV/f.u. The value obtained for the volume is 84.5 Å³/cell.

# 5
Material: Ca2LaUN4
Method: DFT, PBE-GGA
State: optimized geometry

Lattice parameters (Å, degrees): 3.5989 6.2663 6.0869 110.34 90.00 90.00
Sites, in units of the cell vectors:
Ca: 0.5000 0.0000 0.5000
Ca: 0.0000 0.5000 0.5000
La: 0.5000 0.5000 0.0000
U: 0.0000 0.0000 0.0000
N: 0.5000 0.2227 0.2230
N: 0.5000 0.7773 0.7770
N: 0.0000 0.2154 0.7872
N: 0.0000 0.7846 0.2128

As for the formation energy from raw total energies: -1281 meV/atom. The total energy comes out at -63.76 eV/f.u. The value obtained for the volume is 128.7 Å³/cell.

# 6
Material: CsSc2Te2Se
Method: DFT, PBE-GGA
State: optimized geometry

Lattice parameters (Å, degrees): 5.0506 5.0506 8.2384 90.00 90.00 90.00
Sites, in units of the cell vectors:
Cs: 0.0000 0.0000 0.5000
Sc: 0.5000 0.0000 0.0000
Sc: 0.0000 0.5000 0.0000
Te: 0.5000 0.5000 0.7712
Te: 0.5000 0.5000 0.2288
Se: 0.0000 0.0000 0.0000

As for the formation energy from raw total energies: -1274 meV/atom. The total energy comes out at -30.93 eV/f.u. The value obtained for the volume is 210.1 Å³/cell.